# Ac5Tl2Ni2 | the Alexandria database | PBE | relaxed
data_Ac5Tl2Ni2
_chemical_formula_sum 'Ac10 Tl4 Ni4'
_symmetry_space_group_name_H-M 'P 1'
_symmetry_Int_Tables_number 1
_symmetry_space_group_name_Hall 'P 1'
_cell_length_a 9.7710
_cell_length_b 6.9499
_cell_length_c 10.7584
_cell_angle_alpha 108.84
_cell_angle_beta 117.01
_cell_angle_gamma 90.00
loop_
_atom_site_label
_atom_site_type_symbol
_atom_site_fract_x
_atom_site_fract_y
_atom_site_fract_z
_atom_site_occupancy
Ac1 Ac 0.7662 0.7569 0.1143 1
Ac2 Ac 0.2338 0.6427 0.8857 1
Ac3 Ac 0.8481 0.2569 0.1143 1
Ac4 Ac 0.1519 0.1427 0.8857 1
Ac5 Ac 0.7484 0.8477 0.7163 1
Ac6 Ac 0.2516 0.1315 0.2837 1
Ac7 Ac 0.4679 0.3477 0.7163 1
Ac8 Ac 0.5321 0.6315 0.2837 1
Ac9 Ac 0.8523 0.2710 0.5000 1
Ac10 Ac 0.1477 0.7710 0.5000 1
Tl1 Tl 0.8598 0.4369 0.8383 1
Tl2 Tl 0.1402 0.5986 0.1617 1
Tl3 Tl 0.4785 0.9369 0.8383 1
Tl4 Tl 0.5215 0.0986 0.1617 1
Ni1 Ni 0.0000 0.8825 0.0000 1
Ni2 Ni 0.5000 0.3825 0.0000 1
Ni3 Ni 0.8626 0.7682 0.5000 1
Ni4 Ni 0.1374 0.2682 0.5000 1
# DOS(E_F): 1.0621 states/eV/atom
# E_tot: -4.25 eV per atom
# formation energy from the elements: -1.41 eV/f.u.
# density: 9.09 g/cm³
# polymorph energy (0 for the lowest one): 56 meV/atom


# Ac4Tl3Ni | the Alexandria database | PBE | relaxed
data_Ac4Tl3Ni
_chemical_formula_sum 'Ac4 Tl3 Ni1'
_symmetry_space_group_name_H-M 'P 1'
_symmetry_Int_Tables_number 1
_symmetry_space_group_name_Hall 'P 1'
_cell_length_a 3.8527
_cell_length_b 3.8527
_cell_length_c 17.5419
_cell_angle_alpha 90.00
_cell_angle_beta 90.00
_cell_angle_gamma 90.00
loop_
_atom_site_label
_atom_site_type_symbol
_atom_site_fract_x
_atom_site_fract_y
_atom_site_fract_z
_atom_site_occupancy
Ni1 Ni 0.5000 0.5000 0.0000 1
Ac1 Ac 0.0000 0.0000 0.8997 1
Ac2 Ac 0.0000 0.0000 0.1003 1
Ac3 Ac 0.0000 0.0000 0.3660 1
Ac4 Ac 0.0000 0.0000 0.6340 1
Tl1 Tl 0.5000 0.5000 0.2352 1
Tl2 Tl 0.5000 0.5000 0.5000 1
Tl3 Tl 0.5000 0.5000 0.7648 1
# DOS(E_F): 0.9074 states/eV/atom
# E_tot: -3.95 eV per atom
# formation energy from the elements: -2.33 eV/f.u.
# density: 10.08 g/cm³